1.
This record from Alexandria via LeMat-Bulk describes a geometry-optimized ScPa2Re structure. The functional is GGA-PBE.

Cell: 3.6630 3.6630 6.8812 Å, 90.00 90.00 90.00°
Closest atoms and distances in Å follow each position.
Space group P4/mmm (No. 123)
Unique sites:
Sc  0.0000  0.0000  0.0000  8 Pa 3.28, 2 Re 3.44, 4 Sc 3.66
Pa  0.5000  0.5000  0.2935  1 Pa 2.84, 4 Re 2.95
Re  0.0000  0.0000  0.5000  8 Pa 2.95

Computed properties:
DFT formation energy in eV/atom: 0.153
Total magnetization in μB per cell: 0.000
Electronic total energy in eV for the cell shown: -37.2
Crystal system: tetragonal
N(E_F) in states/eV per atom: 1.986
E above lowest polymorph in eV/f.u.: 0.00

***

2.
This record from Alexandria via LeMat-Bulk describes a geometry-optimized ScPa2Re structure. The functional is GGA-PBE.

Cell: 7.0610 7.0610 7.0610 Å, 90.00 90.00 90.00°
Closest atoms and distances in Å follow each position.
Space group Fm-3m (No. 225)
Unique sites:
Sc  0.0000  0.0000  0.0000  8 Pa 3.06
Pa  0.2500  0.2500  0.2500  4 Re 3.06, 4 Sc 3.06
Re  0.0000  0.0000  0.5000  8 Pa 3.06

Computed properties:
DFT formation energy in eV/atom: 0.240
Total magnetization in μB per cell: 0.003
Electronic total energy in eV for the cell shown: -147.3
Crystal system: cubic
N(E_F) in states/eV per atom: 1.909
E above lowest polymorph in eV/f.u.: 0.35

***

3.
This record from Alexandria via LeMat-Bulk describes a geometry-optimized ScPaRe structure. The functional is GGA-PBE.

Cell: 3.3820 3.3820 11.0943 Å, 90.00 90.00 90.00°
Closest atoms and distances in Å follow each position.
Space group I4mm (No. 107)
Unique sites:
Sc  0.0000  0.0000  0.0000  4 Re 2.95, 1 Pa 3.25
Pa  0.0000  0.0000  0.7070  4 Re 2.83
Re  0.0000  0.0000  0.3440  4 Pa 2.83, 4 Sc 2.95

Computed properties:
DFT formation energy in eV/atom: -0.032
Total magnetization in μB per cell: 0.000
Electronic total energy in eV for the cell shown: -56.7
Crystal system: tetragonal
N(E_F) in states/eV per atom: 0.993
E above lowest polymorph in eV/f.u.: 0.00

***

4.
This record from Alexandria via LeMat-Bulk describes a geometry-optimized ScPaReSn structure. The functional is GGA-PBE.

Cell: 6.8628 6.8628 6.8628 Å, 90.00 90.00 90.00°
Closest atoms and distances in Å follow each position.
Space group F-43m (No. 216)
Unique sites:
Sc  0.0000  0.0000  0.0000  4 Sn 2.97, 4 Pa 2.97
Pa  0.2500  0.2500  0.2500  4 Re 2.97, 4 Sc 2.97
Re  0.0000  0.0000  0.5000  4 Sn 2.97, 4 Pa 2.97
Sn  0.2500  0.2500  0.7500  4 Re 2.97, 4 Sc 2.97

Computed properties:
DFT formation energy in eV/atom: -0.122
Total magnetization in μB per cell: 2.753
Electronic total energy in eV for the cell shown: -131.1
Crystal system: cubic
N(E_F) in states/eV per atom: 0.962

***

5.
This record from Alexandria via LeMat-Bulk describes a geometry-optimized ScPaTiRe structure. The functional is GGA-PBE.

Cell: 6.7393 6.7393 6.7393 Å, 90.00 90.00 90.00°
Closest atoms and distances in Å follow each position.
Space group F-43m (No. 216)
Unique sites:
Sc  0.0000  0.0000  0.0000  4 Re 2.92, 4 Ti 2.92
Pa  0.0000  0.0000  0.5000  4 Re 2.92, 4 Ti 2.92
Ti  0.2500  0.2500  0.7500  4 Pa 2.92, 4 Sc 2.92
Re  0.2500  0.2500  0.2500  4 Pa 2.92, 4 Sc 2.92

Computed properties:
DFT formation energy in eV/atom: -0.074
Total magnetization in μB per cell: 0.001
Electronic total energy in eV for the cell shown: -145.9
Crystal system: cubic
N(E_F) in states/eV per atom: 0.769

***

6.
This record from Alexandria via LeMat-Bulk describes a geometry-optimized ScPaVRe structure. The functional is GGA-PBE.

Cell: 6.6685 6.6685 6.6685 Å, 90.00 90.00 90.00°
Closest atoms and distances in Å follow each position.
Space group F-43m (No. 216)
Unique sites:
Sc  0.0000  0.0000  0.0000  4 Re 2.89, 4 V 2.89
Pa  0.0000  0.0000  0.5000  4 Re 2.89, 4 V 2.89
V  0.2500  0.2500  0.2500  4 Pa 2.89, 4 Sc 2.89
Re  0.2500  0.2500  0.7500  4 Pa 2.89, 4 Sc 2.89

Computed properties:
DFT formation energy in eV/atom: -0.007
Total magnetization in μB per cell: 3.197
Electronic total energy in eV for the cell shown: -149.7
Crystal system: cubic
N(E_F) in states/eV per atom: 0.947

***

7.
This record from Alexandria via LeMat-Bulk describes a geometry-optimized PaReSe2 structure. The functional is GGA-PBE.

Cell: 3.1780 3.1780 28.3548 Å, 90.00 90.00 120.00°
Closest atoms and distances in Å follow each position.
Space group R-3m (No. 166, hexagonal axes)
Unique sites:
Pa  0.0000  0.0000  0.0000  2 Se 2.94, 6 Pa 3.18
Re  0.0000  0.0000  0.5000  6 Se 2.56
Se  0.0000  0.0000  0.1037  3 Re 2.56

Computed properties:
Total magnetization in μB per cell: 0.239
Electronic total energy in eV for the cell shown: -86.1
Crystal system: trigonal
N(E_F) in states/eV per atom: 1.363

***

8.
This record from Alexandria via LeMat-Bulk describes a geometry-optimized Pa6ReSe5 structure. The functional is GGA-PBE.

Cell: 7.1106 12.2339 7.0391 Å, 90.00 109.63 90.00°
Closest atoms and distances in Å follow each position.
Space group C2/m (No. 12)
Unique sites:
Pa  0.2356  0.0000  0.2534  1 Re 2.79, 5 Se 2.90-3.00
Pa  0.2375  0.1587  0.7374  1 Re 2.74, 5 Se 2.89-2.95
Re  0.0000  0.0000  0.5000  6 Pa 2.74-2.79
Se  0.0000  0.1749  0.0000  6 Pa 2.90-2.95
Se  0.0000  0.3353  0.5000  6 Pa 2.89-2.90
Se  0.0000  0.5000  0.0000  6 Pa 2.89-3.00

Computed properties:
Total magnetization in μB per cell: 0.000
Electronic total energy in eV for the cell shown: -198.0
Crystal system: monoclinic
N(E_F) in states/eV per atom: 1.772

***

9.
This record from Alexandria via LeMat-Bulk describes a geometry-optimized Pa3ReSe2 structure. The functional is GGA-PBE.

Cell: 4.0633 4.0633 17.2013 Å, 90.00 90.00 90.00°
Closest atoms and distances in Å follow each position.
Space group I4/mmm (No. 139)
Unique sites:
Pa  0.0000  0.0000  0.0000  4 Re 2.87, 2 Se 2.97
Pa  0.0000  0.0000  0.3432  1 Re 2.70, 5 Se 2.89-2.94
Re  0.0000  0.0000  0.5000  6 Pa 2.70-2.87
Se  0.0000  0.0000  0.1724  6 Pa 2.89-2.97

Computed properties:
Total magnetization in μB per cell: 0.000
Electronic total energy in eV for the cell shown: -105.1
Crystal system: tetragonal
N(E_F) in states/eV per atom: 1.482

***

10.
This record from Alexandria via LeMat-Bulk describes a geometry-optimized Pa4ReTeSe2 structure. The functional is GGA-PBE.

Cell: 7.1760 4.0059 7.4154 Å, 90.00 107.86 90.00°
Closest atoms and distances in Å follow each position.
Space group P2/m (No. 10)
Unique sites:
Pa  0.2327  0.0000  0.2170  2 Re 2.78, 3 Se 2.86-3.10, 1 Te 3.06
Pa  0.2548  0.5000  0.7779  1 Re 2.81, 3 Se 2.84-3.09, 2 Te 3.05
Re  0.0000  0.5000  0.0000  6 Pa 2.78-2.81
Te  0.0000  0.0000  0.5000  6 Pa 3.05-3.06
Se  0.5000  0.0000  0.0000  6 Pa 2.84-2.86
Se  0.5000  0.5000  0.5000  6 Pa 3.09-3.10

Computed properties:
Total magnetization in μB per cell: 0.000
Electronic total energy in eV for the cell shown: -66.4
Crystal system: monoclinic
N(E_F) in states/eV per atom: 1.482

***

11.
This record from Alexandria via LeMat-Bulk describes a geometry-optimized Pa2Re3Si5 structure. The functional is GGA-PBE.

Cell: 9.7616 12.3053 5.6466 Å, 90.00 90.00 90.00°
Closest atoms and distances in Å follow each position.
Space group Ibam (No. 72)
Unique sites:
Pa  0.2332  0.1349  0.0000  10 Si 3.01-3.34, 4 Re 3.13-3.21
Re  0.0000  0.5000  0.2500  6 Si 2.49-2.53
Re  0.0949  0.1496  0.5000  5 Si 2.38-2.50
Si  0.0000  0.0000  0.2500  4 Re 2.50
Si  0.0000  0.2941  0.2500  3 Re 2.45-2.53, 2 Si 2.55
Si  0.1695  0.4015  0.0000  3 Re 2.38-2.49, 2 Si 2.55

Computed properties:
Total magnetization in μB per cell: 0.000
Electronic total energy in eV for the cell shown: -355.0
Crystal system: orthorhombic
N(E_F) in states/eV per atom: 0.685

***

12.
This record from Alexandria via LeMat-Bulk describes a geometry-optimized Pa3ReSi3 structure. The functional is GGA-PBE.

Cell: 10.4068 4.2620 13.5870 Å, 90.00 111.20 90.00°
Closest atoms and distances in Å follow each position.
Space group C2/m (No. 12)
Unique sites:
Pa  0.0182  0.0000  0.3700  6 Si 2.91-3.10, 4 Re 3.07-3.12
Pa  0.0976  0.0000  0.9216  7 Si 2.93-3.11
Pa  0.2491  0.0000  0.2241  6 Si 2.91-3.09
Re  0.2439  0.5000  0.4135  4 Si 2.47-2.53
Si  0.0505  0.5000  0.2349  1 Si 2.52, 1 Re 2.53
Si  0.1181  0.5000  0.0748  2 Si 2.52-2.56
Si  0.1283  0.5000  0.5467  3 Re 2.47-2.51, 1 Si 2.51

Computed properties:
Total magnetization in μB per cell: 0.000
Electronic total energy in eV for the cell shown: -242.4
Crystal system: monoclinic
N(E_F) in states/eV per atom: 1.508

***

13.
This record from Alexandria via LeMat-Bulk describes a geometry-optimized Pa3Re2Si2 structure. The functional is GGA-PBE.

Cell: 5.4676 7.7471 13.3656 Å, 90.00 90.00 90.00°
Closest atoms and distances in Å follow each position.
Space group Pbcm (No. 57)
Unique sites:
Pa  0.1212  0.2388  0.2500  3 Si 2.95-3.08, 4 Re 2.97-3.12
Pa  0.3458  0.5968  0.1021  4 Re 2.87-3.07, 3 Si 2.96-3.17
Re  0.1507  0.5314  0.5933  3 Si 2.51-2.61
Si  0.1306  0.2500  0.0000  4 Re 2.51-2.61
Si  0.3827  0.6127  0.7500  2 Re 2.53

Computed properties:
Total magnetization in μB per cell: 0.000
Electronic total energy in eV for the cell shown: -268.3
Crystal system: orthorhombic
N(E_F) in states/eV per atom: 1.246

***

14.
This record from Alexandria via LeMat-Bulk describes a geometry-optimized Pa3Re2Si7 structure. The functional is GGA-PBE.

Cell: 4.1510 4.1304 12.8272 Å, 90.00 99.31 90.00°
Closest atoms and distances in Å follow each position.
Space group P2/m (No. 10)
Unique sites:
Pa  0.0000  0.0000  0.0000  12 Si 2.93-2.94
Pa  0.3162  0.5000  0.6322  10 Si 3.10-3.31, 4 Re 3.23
Re  0.1305  0.0000  0.2603  5 Si 2.39-2.40
Si  0.0828  0.5000  0.1645  2 Re 2.39
Si  0.2244  0.0000  0.4492  1 Re 2.39, 2 Si 2.44
Si  0.4175  0.0000  0.8356  2 Re 2.40
Si  0.5000  0.5000  0.0000  4 Pa 2.93, 8 Si 2.93-2.94

Computed properties:
Total magnetization in μB per cell: 0.000
Electronic total energy in eV for the cell shown: -97.0
Crystal system: monoclinic
N(E_F) in states/eV per atom: 0.593

***

15.
This record from Alexandria via LeMat-Bulk describes a geometry-optimized Pa4ReSi8 structure. The functional is GGA-PBE.

Cell: 3.9267 3.9456 16.3101 Å, 90.00 90.00 90.00°
Closest atoms and distances in Å follow each position.
Space group Pmm2 (No. 25)
Unique sites:
Pa  0.0000  0.0000  0.0000  10 Si 2.96-3.07
Pa  0.0000  0.5000  0.4857  10 Si 2.90-3.16
Pa  0.5000  0.0000  0.7831  10 Si 3.03-3.36, 4 Re 3.04
Pa  0.5000  0.5000  0.2760  10 Si 2.94-3.09
Re  0.0000  0.5000  0.7082  5 Si 2.41-2.47
Si  0.0000  0.0000  0.3346  2 Si 2.42
Si  0.0000  0.0000  0.6171  2 Re 2.47
Si  0.0000  0.5000  0.1381  4 Si 2.78, 4 Pa 2.99
Si  0.0000  0.5000  0.8559  2 Si 2.38, 1 Re 2.41
Si  0.5000  0.0000  0.1376  4 Si 2.78, 4 Pa 2.98-3.00
Si  0.5000  0.0000  0.4218  2 Si 2.42
Si  0.5000  0.5000  0.6167  2 Re 2.47
Si  0.5000  0.5000  0.9382  2 Si 2.38

Computed properties:
Total magnetization in μB per cell: 0.000
Electronic total energy in eV for the cell shown: -99.0
Crystal system: orthorhombic
N(E_F) in states/eV per atom: 0.989

***

16.
This record from Alexandria via LeMat-Bulk describes a geometry-optimized Pa3Re3Si8 structure. The functional is GGA-PBE.

Cell: 4.1740 9.9447 11.3453 Å, 90.00 90.00 90.00°
Closest atoms and distances in Å follow each position.
Space group Immm (No. 71)
Unique sites:
Pa  0.0000  0.0000  0.0000  12 Si 3.08-3.14
Pa  0.0000  0.0000  0.3175  4 Re 2.94-2.97, 8 Si 3.00-3.09
Re  0.0000  0.2141  0.5000  6 Si 2.43-2.53
Re  0.0000  0.5000  0.0000  4 Si 2.61
Si  0.0000  0.2806  0.1263  3 Re 2.53-2.61, 3 Si 2.54-2.61
Si  0.0000  0.3710  0.3354  1 Re 2.43, 4 Si 2.54-2.61

Computed properties:
Total magnetization in μB per cell: 0.000
Electronic total energy in eV for the cell shown: -229.2
Crystal system: orthorhombic
N(E_F) in states/eV per atom: 0.723

***

17.
This record from Alexandria via LeMat-Bulk describes a geometry-optimized Pa6Re3Si structure. The functional is GGA-PBE.

Cell: 7.3288 7.1677 10.9289 Å, 90.00 126.35 90.00°
Closest atoms and distances in Å follow each position.
Space group P2_1/c (No. 14)
Unique sites:
Pa  0.0356  0.1023  0.2723  3 Re 2.66-2.92, 1 Si 2.88
Pa  0.2607  0.6874  0.0938  2 Re 2.72-2.76, 1 Si 2.84
Pa  0.4062  0.1314  0.0499  4 Re 2.85-3.18, 1 Si 2.86, 2 Pa 2.90-3.16
Re  0.0000  0.0000  0.0000  6 Pa 2.72-2.92
Re  0.2338  0.1491  0.7059  3 Pa 2.66-2.79
Si  0.5000  0.0000  0.5000  6 Pa 2.84-2.88

Computed properties:
Total magnetization in μB per cell: 0.000
Electronic total energy in eV for the cell shown: -198.0
Crystal system: monoclinic
N(E_F) in states/eV per atom: 1.447

***

18.
This record from Alexandria via LeMat-Bulk describes a geometry-optimized Pa3Re2Si4 structure. The functional is GGA-PBE.

Cell: 10.4133 4.2618 8.0879 Å, 90.00 107.45 90.00°
Closest atoms and distances in Å follow each position.
Space group C2/m (No. 12)
Unique sites:
Pa  0.0000  0.0000  0.0000  8 Si 3.01-3.21
Pa  0.1240  0.5000  0.7023  7 Si 2.86-3.14, 4 Re 3.03-3.10
Re  0.1840  0.5000  0.3587  4 Si 2.42-2.54
Si  0.0900  0.0000  0.4077  3 Re 2.43-2.54
Si  0.2136  0.5000  0.0729  1 Re 2.42, 2 Si 2.65

Computed properties:
Total magnetization in μB per cell: 0.000
Electronic total energy in eV for the cell shown: -159.2
Crystal system: monoclinic
N(E_F) in states/eV per atom: 0.960

***

19.
This record from Alexandria via LeMat-Bulk describes a geometry-optimized PaReSiTc structure. The functional is GGA-PBE.

Cell: 6.4925 6.4925 6.4925 Å, 90.00 90.00 90.00°
Closest atoms and distances in Å follow each position.
Space group F-43m (No. 216)
Unique sites:
Pa  0.0000  0.0000  0.0000  4 Re 2.81, 4 Tc 2.81
Re  0.2500  0.2500  0.2500  4 Pa 2.81, 4 Si 2.81
Si  0.0000  0.0000  0.5000  4 Re 2.81, 4 Tc 2.81
Tc  0.2500  0.2500  0.7500  4 Pa 2.81, 4 Si 2.81

Computed properties:
Total magnetization in μB per cell: 0.000
Electronic total energy in eV for the cell shown: -152.5
Crystal system: cubic
N(E_F) in states/eV per atom: 1.378

***

20.
This record from Alexandria via LeMat-Bulk describes a geometry-optimized Pa3Re2Si3Tc structure. The functional is GGA-PBE.

Cell: 6.9003 6.9003 4.0272 Å, 90.00 90.00 120.00°
Closest atoms and distances in Å follow each position.
Space group P-62m (No. 189)
Unique sites:
Pa  0.0000  0.4218  0.0000  4 Re 2.88, 1 Tc 2.91, 2 Si 3.11
Re  0.3333  0.6667  0.5000  3 Si 2.70, 6 Pa 2.88
Si  0.0000  0.7647  0.5000  2 Tc 2.59, 2 Re 2.70, 2 Si 2.81
Tc  0.0000  0.0000  0.0000  6 Si 2.59

Computed properties:
Total magnetization in μB per cell: 0.000
Electronic total energy in eV for the cell shown: -84.2
Crystal system: hexagonal
N(E_F) in states/eV per atom: 0.651